*w*
First-principles (GGA-PBE) data for a relaxed structure of CsTiF4, as listed in Alexandria via LeMat-Bulk.

abc: 8.2476 8.2476 4.0323
angles: 90.00 90.00 90.00
Closest atoms and distances in Å follow each position.
Fractional coordinates of all 12 atoms:
Cs 0.2500 0.2500 0.1593  8 F 3.08-3.19
Cs 0.7500 0.7500 0.8407  8 F 3.08-3.19
Ti 0.2500 0.7500 0.5000  4 F 1.87
Ti 0.7500 0.2500 0.5000  4 F 1.87
F 0.0410 0.7500 0.3202  1 Ti 1.87
F 0.2500 0.5410 0.6798  1 Ti 1.87
F 0.2500 0.9590 0.6798  1 Ti 1.87
F 0.4590 0.7500 0.3202  1 Ti 1.87
F 0.5410 0.2500 0.6798  1 Ti 1.87
F 0.7500 0.0410 0.3202  1 Ti 1.87
F 0.7500 0.4590 0.3202  1 Ti 1.87
F 0.9590 0.2500 0.6798  1 Ti 1.87

Summary:
Calculated density (g/cm3): 3.11

*x*
First-principles (GGA-PBE) data for a relaxed structure of CsTiF4, as listed in Alexandria via LeMat-Bulk.

abc: 8.0265 8.0265 6.6825
angles: 90.00 90.00 90.00
Closest atoms and distances in Å follow each position.
Fractional coordinates of all 24 atoms:
Cs 0.2500 0.2500 0.0469  12 F 3.08-3.42
Cs 0.2500 0.7500 0.0000  8 F 3.19
Cs 0.7500 0.2500 0.0000  8 F 3.19
Cs 0.7500 0.7500 0.9531  12 F 3.08-3.42
Ti 0.0000 0.0000 0.5000  6 F 1.93-2.02
Ti 0.0000 0.5000 0.5000  6 F 1.93-2.02
Ti 0.5000 0.0000 0.5000  6 F 1.93-2.02
Ti 0.5000 0.5000 0.5000  6 F 1.93-2.02
F 0.0017 0.7500 0.5397  2 Ti 2.02
F 0.0262 0.0262 0.7854  1 Ti 1.93
F 0.0262 0.4738 0.7854  1 Ti 1.93
F 0.2500 0.5017 0.4603  2 Ti 2.02
F 0.2500 0.9983 0.4603  2 Ti 2.02
F 0.4738 0.0262 0.7854  1 Ti 1.93
F 0.4738 0.4738 0.7854  1 Ti 1.93
F 0.4983 0.7500 0.5397  2 Ti 2.02
F 0.5017 0.2500 0.4603  2 Ti 2.02
F 0.5262 0.5262 0.2146  1 Ti 1.93
F 0.5262 0.9738 0.2146  1 Ti 1.93
F 0.7500 0.0017 0.5397  2 Ti 2.02
F 0.7500 0.4983 0.5397  2 Ti 2.02
F 0.9738 0.5262 0.2146  1 Ti 1.93
F 0.9738 0.9738 0.2146  1 Ti 1.93
F 0.9983 0.2500 0.4603  2 Ti 2.02

Summary:
D(E_F) (states/eV/atom): 0.60
Calculated density (g/cm3): 3.96

Most favorable structure: *x*. The second most favorable one is 127 meV/atom above it.

*w*
First-principles (GGA-PBE) data for a relaxed structure of CsTlF2, as listed in Alexandria via LeMat-Bulk.

abc: 5.0558 5.0558 5.0558
angles: 60.00 60.00 60.00
Closest atoms and distances in Å follow each position.
Fractional coordinates of all 4 atoms:
Cs 0.0000 0.0000 0.0000  8 F 3.10
Tl 0.5000 0.5000 0.5000  8 F 3.10
F 0.2500 0.2500 0.2500  4 Tl 3.10, 4 Cs 3.10
F 0.7500 0.7500 0.7500  4 Tl 3.10, 4 Cs 3.10

Summary:
D(E_F) (states/eV/atom): 0.00
Calculated density (g/cm3): 6.82

*x*
First-principles (GGA-PBE) data for a relaxed structure of CsTlF2, as listed in Alexandria via LeMat-Bulk.

abc: 3.5621 3.5621 7.1601
angles: 90.00 90.00 90.00
Closest atoms and distances in Å follow each position.
Fractional coordinates of all 4 atoms:
Cs 0.0000 0.0000 0.0000  8 F 3.13
Tl 0.0000 0.0000 0.5000  8 F 3.05
F 0.5000 0.5000 0.2594  4 Tl 3.05, 4 Cs 3.13
F 0.5000 0.5000 0.7406  4 Tl 3.05, 4 Cs 3.13

Summary:
D(E_F) (states/eV/atom): 0.00
Calculated density (g/cm3): 6.86

*y*
First-principles (GGA-PBE) data for a relaxed structure of CsTlF2, as listed in Alexandria via LeMat-Bulk.

abc: 7.3284 7.3284 6.3032
angles: 114.89 114.89 45.72
Closest atoms and distances in Å follow each position.
Fractional coordinates of all 8 atoms:
Cs 0.1163 0.1163 0.3661  6 F 2.94-3.20
Cs 0.8837 0.8837 0.6339  6 F 2.94-3.20
Tl 0.3613 0.3613 0.1104  2 F 2.40-2.56
Tl 0.6387 0.6387 0.8896  2 F 2.40-2.56
F 0.1479 0.1479 0.8933  3 Tl 2.56-2.85
F 0.3536 0.3536 0.4837  1 Tl 2.40
F 0.6464 0.6464 0.5163  1 Tl 2.40
F 0.8521 0.8521 0.1067  3 Tl 2.56-2.85

Summary:
D(E_F) (states/eV/atom): 0.00
Calculated density (g/cm3): 5.78

Most favorable structure: *y*. The second most favorable one is 141 meV/atom above it.

*w*
First-principles (GGA-PBE) data for a relaxed structure of CsTlF2, as listed in Alexandria via LeMat-Bulk.

abc: 7.5753 7.5753 7.5753
angles: 30.94 30.94 30.94
Closest atoms and distances in Å follow each position.
Fractional coordinates of all 4 atoms:
Cs 0.0000 0.0000 0.0000  6 F 2.99-3.03
Tl 0.1696 0.1696 0.1696  6 F 2.87-2.91
F 0.4224 0.4224 0.4224  3 Tl 2.91, 3 Cs 3.03
F 0.5804 0.5804 0.5804  3 Tl 2.87, 3 Cs 2.99

Summary:
D(E_F) (states/eV/atom): 0.00
Calculated density (g/cm3): 6.11

*x*
First-principles (GGA-PBE) data for a relaxed structure of CsTlF2, as listed in Alexandria via LeMat-Bulk.

abc: 8.5417 8.5417 8.5417
angles: 29.78 29.78 29.78
Closest atoms and distances in Å follow each position.
Fractional coordinates of all 4 atoms:
Cs 0.0000 0.0000 0.0000  6 F 3.03
Tl 0.5000 0.5000 0.5000  2 F 2.41
F 0.4015 0.4015 0.4015  1 Tl 2.41
F 0.5985 0.5985 0.5985  1 Tl 2.41

Summary:
D(E_F) (states/eV/atom): 0.00
Calculated density (g/cm3): 4.58

Most favorable structure: *w*. The second most favorable one is 107 meV/atom above it.

*w*
First-principles (GGA-PBE) data for a relaxed structure of Cs2TlF4, as listed in Alexandria via LeMat-Bulk.

abc: 8.2917 8.2917 8.2917
angles: 146.61 146.61 47.95
Closest atoms and distances in Å follow each position.
Fractional coordinates of all 7 atoms:
Cs 0.1473 0.1473 0.0000  5 F 2.92-3.26
Cs 0.8527 0.8527 0.0000  5 F 2.92-3.26
Tl 0.5000 0.5000 0.0000  6 F 2.38-2.43
F 0.0000 0.5000 0.5000  2 Tl 2.38
F 0.3399 0.3399 0.0000  1 Tl 2.43
F 0.5000 0.0000 0.5000  2 Tl 2.38
F 0.6601 0.6601 0.0000  1 Tl 2.43

Summary:
D(E_F) (states/eV/atom): 0.27
Calculated density (g/cm3): 5.27

*x*
First-principles (GGA-PBE) data for a relaxed structure of Cs2TlF4, as listed in Alexandria via LeMat-Bulk.

abc: 7.3905 6.9014 8.4153
angles: 90.00 110.13 90.00
Closest atoms and distances in Å follow each position.
Fractional coordinates of all 14 atoms:
Cs 0.1724 0.2500 0.0419  6 F 2.94-3.19
Cs 0.2657 0.2500 0.5558  6 F 2.95-3.25
Cs 0.7343 0.7500 0.4442  6 F 2.95-3.25
Cs 0.8276 0.7500 0.9581  6 F 2.94-3.19
Tl 0.2854 0.7500 0.8082  4 F 2.28-2.30
Tl 0.7146 0.2500 0.1918  4 F 2.28-2.30
F 0.0485 0.5184 0.7525  1 Tl 2.30
F 0.0485 0.9816 0.7525  1 Tl 2.30
F 0.4746 0.7500 0.6429  1 Tl 2.29
F 0.4803 0.7500 0.0855  1 Tl 2.28
F 0.5197 0.2500 0.9145  1 Tl 2.28
F 0.5254 0.2500 0.3571  1 Tl 2.29
F 0.9515 0.0184 0.2475  1 Tl 2.30
F 0.9515 0.4816 0.2475  1 Tl 2.30

Summary:
D(E_F) (states/eV/atom): 0.35
Calculated density (g/cm3): 4.50

Most favorable structure: *w*. The second most favorable one is 106 meV/atom above it.

*w*
First-principles (GGA-PBE) data for a relaxed structure of CsTl3F, as listed in Alexandria via LeMat-Bulk.

abc: 5.6220 5.6220 5.6220
angles: 90.00 90.00 90.00
Closest atoms and distances in Å follow each position.
Fractional coordinates of all 5 atoms:
Cs 0.0000 0.0000 0.0000  12 Tl 3.98
Tl 0.0000 0.5000 0.5000  2 F 2.81
Tl 0.5000 0.0000 0.5000  2 F 2.81
Tl 0.5000 0.5000 0.0000  2 F 2.81
F 0.5000 0.5000 0.5000  6 Tl 2.81

Summary:
D(E_F) (states/eV/atom): 0.72
Calculated density (g/cm3): 7.15

*x*
First-principles (GGA-PBE) data for a relaxed structure of CsTl3F, as listed in Alexandria via LeMat-Bulk.

abc: 7.0046 7.0046 7.0046
angles: 90.00 90.00 90.00
Closest atoms and distances in Å follow each position.
Fractional coordinates of all 5 atoms:
Cs 0.0000 0.0000 0.0000  6 Tl 3.50
Tl 0.0000 0.0000 0.5000  2 Cs 3.50
Tl 0.0000 0.5000 0.0000  2 Cs 3.50
Tl 0.5000 0.0000 0.0000  2 Cs 3.50
F 0.5000 0.5000 0.5000  12 Tl 4.95

Summary:
D(E_F) (states/eV/atom): 1.08
Calculated density (g/cm3): 3.70

Most favorable structure: *w*. The second most favorable one is 963 meV/atom above it.

*w*
First-principles (GGA-PBE) data for a relaxed structure of CsU2F9, as listed in Alexandria via LeMat-Bulk.

abc: 7.9028 7.9028 3.6237
angles: 90.00 90.00 120.00
Closest atoms and distances in Å follow each position.
Fractional coordinates of all 12 atoms:
Cs 0.0000 0.0000 0.0000  18 F 3.54-3.95, 2 Cs 3.62
U 0.3333 0.6667 0.0000  9 F 2.28-2.37
U 0.6667 0.3333 0.0000  9 F 2.28-2.37
F 0.0000 0.5000 0.0000  2 U 2.28
F 0.2219 0.4437 0.5000  2 U 2.37, 2 F 2.64
F 0.2219 0.7781 0.5000  2 U 2.37, 2 F 2.64
F 0.4437 0.2219 0.5000  2 U 2.37, 2 F 2.64
F 0.5000 0.0000 0.0000  2 U 2.28
F 0.5000 0.5000 0.0000  2 U 2.28
F 0.5563 0.7781 0.5000  2 U 2.37, 2 F 2.64
F 0.7781 0.2219 0.5000  2 U 2.37, 2 F 2.64
F 0.7781 0.5563 0.5000  2 U 2.37, 2 F 2.64

Summary:
D(E_F) (states/eV/atom): 0.71
Calculated density (g/cm3): 6.61

*x*
First-principles (GGA-PBE) data for a relaxed structure of CsU2F9, as listed in Alexandria via LeMat-Bulk.

abc: 8.5665 8.5665 8.7405
angles: 115.14 115.14 49.33
Closest atoms and distances in Å follow each position.
Fractional coordinates of all 24 atoms:
Cs 0.1156 0.8844 0.5000  6 F 2.94-3.12
Cs 0.8844 0.1156 0.0000  6 F 2.94-3.12
U 0.1914 0.3782 0.9535  4 F 2.10-2.35
U 0.3782 0.1914 0.4535  4 F 2.10-2.35
U 0.6227 0.8099 0.0493  7 F 2.23-2.40
U 0.8099 0.6227 0.5493  7 F 2.23-2.40
F 0.0088 0.6581 0.8171  2 U 2.27-2.36
F 0.0456 0.2614 0.3817  2 U 2.33-2.51, 2 F 2.54-2.57
F 0.0979 0.5563 0.5213  2 U 2.24-2.40
F 0.2544 0.3473 0.2249  2 U 2.29-2.35
F 0.2614 0.0456 0.8817  2 U 2.33-2.51, 2 F 2.54-2.57
F 0.3473 0.2544 0.7249  2 U 2.29-2.35
F 0.3512 0.9635 0.1703  2 U 2.28-2.45
F 0.3599 0.5140 0.0809  1 U 2.10
F 0.4519 0.8701 0.4652  2 U 2.32-2.43, 1 F 2.54
F 0.5140 0.3599 0.5809  1 U 2.10
F 0.5563 0.0979 0.0213  2 U 2.24-2.40
F 0.6294 0.7356 0.7618  2 U 2.33-2.40
F 0.6581 0.0088 0.3171  2 U 2.27-2.36
F 0.7291 0.9466 0.6153  2 U 2.23-2.48
F 0.7356 0.6294 0.2618  2 U 2.33-2.40
F 0.8701 0.4519 0.9652  2 U 2.32-2.43, 1 F 2.54
F 0.9466 0.7291 0.1153  2 U 2.23-2.48
F 0.9635 0.3512 0.6703  2 U 2.28-2.45

Summary:
D(E_F) (states/eV/atom): 0.71
Calculated density (g/cm3): 6.02

Most favorable structure: *x*. The second most favorable one is 44 meV/atom above it.